# VCoP2O8 GGA+U optimized geometry
data_VCoP2O8
_chemical_formula_sum 'V2 Co2 P4 O16'
_space_group_name_H-M_alt 'P 1 21/m 1'
_space_group_IT_number 11
_space_group_name_Hall '-P 2yb'
_cell_length_a 4.8862
_cell_length_b 5.9366
_cell_length_c 9.9233
_cell_angle_alpha 90.00
_cell_angle_beta 90.75
_cell_angle_gamma 90.00
loop_
_atom_site_label
_atom_site_fract_x
_atom_site_fract_y
_atom_site_fract_z
V1 0.0254 0.2500 0.2245
Co1 0.4565 0.2500 0.7306
P1 0.0817 0.7500 0.0954
P2 0.3928 0.7500 0.6002
O1 0.1529 0.7500 0.9393
O2 0.2247 0.2500 0.8930
O3 0.2287 0.5428 0.1618
O4 0.2369 0.5507 0.6732
O5 0.2991 0.2500 0.3591
O6 0.3606 0.7500 0.4499
# - size of the total moment (μB/f.u.) = 4.00
# - total energy (eV/cell) = -173.09